No. 1
## Sc2Tl (SCAN)

Data for a PBEsol-optimized structure of Sc2Tl.

Unit cell a=3.179 b=4.391 c=10.834 alpha=101.69 beta=98.44 gamma=90.00
Each line ends with the local moment (μB).
Element x y z (fractional)
Sc: 0.047 0.797 0.095  -0.25
Sc: 0.953 0.203 0.905  -0.25
Sc: 0.186 0.936 0.371  0.44
Sc: 0.814 0.064 0.629  0.44
Tl: 0.609 0.359 0.219  0.01
Tl: 0.391 0.641 0.781  0.01

## Properties
- Formation energy from the elements: -0.062 eV/atom
- Mass density: 6.68 Mg/m³
- M_tot: 0.696 Bohr magnetons per cell
- Crystal system: orthorhombic
- Electronic total energy: -202.0 eV/cell
- DOS(E_F): 0.78 states/eV per atom

***

No. 2
## Sc2Tl (SCAN)

Data for a PBEsol-optimized structure of Sc2Tl.

Unit cell a=4.348 b=4.348 c=14.492 alpha=98.63 beta=98.63 gamma=90.00
Element x y z (fractional)
Sc: 0.994 0.494 0.988
Sc: 0.506 0.006 0.012
Sc: 0.744 0.744 0.488
Sc: 0.256 0.256 0.512
Sc: 0.836 0.336 0.671
Sc: 0.664 0.164 0.329
Sc: 0.586 0.586 0.171
Sc: 0.414 0.414 0.829
Tl: 0.172 0.672 0.345
Tl: 0.328 0.828 0.655
Tl: 0.922 0.922 0.845
Tl: 0.078 0.078 0.155

## Properties
- Formation energy from the elements: -0.387 eV/atom
- Mass density: 7.30 Mg/m³
- M_tot: 0.000 Bohr magnetons per cell
- Crystal system: tetragonal
- Electronic total energy: -408.0 eV/cell
- DOS(E_F): 0.72 states/eV per atom

***

No. 3
## Sc5Tl3 (SCAN)

Data for a PBEsol-optimized structure of Sc5Tl3.

Unit cell a=6.037 b=8.407 c=8.407 alpha=120.00 beta=90.00 gamma=90.00
Element x y z (fractional)
Sc: 0.000 0.667 0.333
Sc: 0.500 0.333 0.667
Sc: 0.000 0.333 0.667
Sc: 0.500 0.667 0.333
Sc: 0.750 0.766 0.766
Sc: 0.250 0.234 0.234
Sc: 0.750 0.000 0.234
Sc: 0.750 0.234 0.000
Sc: 0.250 0.766 0.000
Sc: 0.250 0.000 0.766
Tl: 0.750 0.400 0.400
Tl: 0.250 0.600 0.600
Tl: 0.750 0.000 0.600
Tl: 0.750 0.600 0.000
Tl: 0.250 0.400 0.000
Tl: 0.250 0.000 0.400

## Properties
- Formation energy from the elements: -0.509 eV/atom
- Mass density: 7.53 Mg/m³
- M_tot: 0.000 Bohr magnetons per cell
- Crystal system: hexagonal
- Electronic total energy: -584.7 eV/cell
- DOS(E_F): 1.25 states/eV per atom